1.
Entry from the Alexandria database: crystalline Fe2Au at its relaxed geometry (GGA-PBE).

Computed properties:
Energy relative to the elements ... 461 meV/atom
Spin magnetization ... 11.47 μB/cell
Uncorrected energy ... -6.27 eV per atom

Geometry as extended XYZ:
```
6
Lattice="-3.3543 -0.4881 3.6326 2.3040 4.3853 -0.3820 -2.5127 -0.5808 -4.2466" Properties=species:S:1:pos:R:3 pbc="T T T"
Fe -0.9255 2.2719 -3.0229
Au -0.2626 0.9743 0.8127
Fe -1.3942 3.1922 -0.1464
Fe -2.6375 1.0444 2.0268
Au -0.7877 2.9229 2.4380
Fe -2.1688 0.1242 -0.8496
```



2.
Entry from the Alexandria database: crystalline Sr2BePt at its relaxed geometry (GGA-PBE).

Computed properties:
Energy relative to the elements ... -379 meV/atom
Spin magnetization ... 0.00 μB/cell
Uncorrected energy ... -3.66 eV per atom

Geometry as extended XYZ:
```
4
Lattice="-5.9270 1.9685 4.7252 -4.5234 -1.5268 6.2081 1.7834 2.1466 3.3716" Properties=species:S:1:pos:R:3 pbc="T T T"
Sr 1.7212 2.1382 3.4106
Be -5.4694 1.1359 7.8544
Pt -0.9961 0.8102 2.8526
Sr -6.4727 1.9450 10.7114
```



3.
Entry from the Alexandria database: crystalline KZr2Co at its relaxed geometry (GGA-PBE).

Computed properties:
Polymorph energy (0 for the lowest one) ... 42 meV/atom
Energy relative to the elements ... 304 meV/atom
Spin magnetization ... 0.00 μB/cell
Uncorrected energy ... -6.02 eV per atom

Geometry as extended XYZ:
```
4
Lattice="3.1598 0.0565 0.0000 -0.0814 3.1592 0.0000 0.0000 0.0000 10.1999" Properties=species:S:1:pos:R:3 pbc="T T T"
Zr 0.0000 0.0000 4.0933
Co 1.5392 1.6078 2.5500
Zr 0.0000 0.0000 1.0067
K 1.5392 1.6078 7.6499
```



4.
Entry from the Alexandria database: crystalline LaTa3P at its relaxed geometry (GGA-PBE).

Computed properties:
Polymorph energy (0 for the lowest one) ... 2237 meV/atom
Energy relative to the elements ... 2487 meV/atom
Spin magnetization ... 0.00 μB/cell
Uncorrected energy ... -6.69 eV per atom

Geometry as extended XYZ:
```
5
Lattice="-3.3286 -0.3840 -3.6229 -3.6138 -0.2736 3.3493 -0.4615 4.9123 -0.0967" Properties=species:S:1:pos:R:3 pbc="T T T"
Ta -1.6643 -0.1920 -1.8114
La 0.0000 0.0000 0.0000
P -3.7020 2.1273 -0.1851
Ta -0.2308 2.4561 -0.0483
Ta -1.8069 -0.1368 1.6747
```